[1]
ZrGeNF2 | the Alexandria database | PBEsol | optimized geometry; crystal system = tetragonal; energy relative to the elements, uncorrected = -1.513 eV per atom
1.0
4.166 0.000 0.000
0.000 4.166 0.000
0.000 0.000 4.227
Zr Ge N F
1 1 1 2
Direct
0.000 0.000 0.000
0.500 0.500 0.500
0.000 0.000 0.500
0.000 0.500 0.000
0.500 0.000 0.000


[2]
LaTeBrN2 | the Alexandria database | PBEsol | optimized geometry; crystal system = tetragonal; energy above the most stable polymorph in this dataset = 366 meV per atom; energy relative to the elements, uncorrected = 1.053 eV per atom
1.0
4.387 0.000 0.000
0.000 4.387 0.000
0.000 0.000 5.179
La Te Br N
1 1 1 2
Direct
0.000 0.000 0.000
0.500 0.500 0.000
0.500 0.500 0.500
0.000 0.500 0.500
0.500 0.000 0.500


[3]
LaH6C2SNO9 | the Alexandria database | PBEsol | optimized geometry; crystal system = monoclinic
1.0
6.701 0.000 0.000
0.000 8.900 0.000
-5.441 0.000 13.752
La H C S N O
4 24 8 4 4 36
Direct
0.172 0.249 0.415
0.172 0.251 0.915
0.828 0.749 0.085
0.828 0.751 0.585
0.238 0.033 0.590
0.238 0.467 0.090
0.344 0.075 0.126
0.344 0.425 0.626
0.373 0.233 0.195
0.373 0.267 0.695
0.412 0.657 0.327
0.412 0.843 0.827
0.474 0.070 0.247
0.474 0.430 0.747
0.475 0.045 0.590
0.475 0.455 0.090
0.525 0.545 0.910
0.525 0.955 0.410
0.526 0.570 0.253
0.526 0.930 0.753
0.588 0.157 0.173
0.588 0.343 0.673
0.627 0.733 0.305
0.627 0.767 0.805
0.656 0.575 0.374
0.656 0.925 0.874
0.762 0.533 0.910
0.762 0.967 0.410
0.076 0.053 0.712
0.076 0.447 0.212
0.137 0.547 0.771
0.137 0.953 0.271
0.863 0.047 0.729
0.863 0.453 0.229
0.924 0.553 0.788
0.924 0.947 0.288
0.237 0.659 0.472
0.237 0.841 0.972
0.763 0.159 0.028
0.763 0.341 0.528
0.446 0.134 0.186
0.446 0.366 0.686
0.554 0.634 0.314
0.554 0.866 0.814
0.059 0.734 0.491
0.059 0.766 0.991
0.094 0.536 0.148
0.094 0.964 0.648
0.150 0.617 0.700
0.150 0.883 0.200
0.204 0.675 0.368
0.204 0.825 0.868
0.217 0.144 0.763
0.217 0.356 0.263
0.241 0.005 0.997
0.241 0.495 0.497
0.285 0.034 0.331
0.285 0.466 0.831
0.329 0.088 0.560
0.329 0.412 0.060
0.443 0.727 0.535
0.443 0.773 0.035
0.557 0.227 0.965
0.557 0.273 0.465
0.671 0.588 0.940
0.671 0.912 0.440
0.715 0.534 0.169
0.715 0.966 0.669
0.759 0.505 0.503
0.759 0.995 0.003
0.783 0.644 0.737
0.783 0.856 0.237
0.796 0.175 0.132
0.796 0.325 0.632
0.850 0.117 0.800
0.850 0.383 0.300
0.906 0.036 0.352
0.906 0.464 0.852
0.941 0.234 0.009
0.941 0.266 0.509


[4]
Ta2WAu | the Alexandria database | PBEsol | optimized geometry; crystal system = orthorhombic; energy above the most stable polymorph in this dataset = 0 meV per atom; E_form = -67 meV/atom
1.0
1.656 -2.223 0.000
1.656 2.223 0.000
0.000 0.000 9.106
Ta W Au
2 1 1
Direct
0.000 0.000 0.247
0.000 0.000 0.753
0.500 0.500 0.000
0.500 0.500 0.500


[5]
Ti3MnCu2P6O24 | the Alexandria database | PBEsol | optimized geometry; crystal system = trigonal; energy relative to the elements, uncorrected = -2.221 eV per atom
1.0
4.270 2.466 6.883
-4.270 2.466 6.883
0.000 -4.931 6.883
Ti Mn Cu P O
3 1 2 6 24
Direct
0.000 0.000 0.000
0.219 0.219 0.219
0.500 0.500 0.500
0.719 0.719 0.719
0.360 0.360 0.360
0.862 0.862 0.862
0.105 0.819 0.404
0.324 0.610 0.899
0.404 0.105 0.819
0.610 0.899 0.324
0.819 0.404 0.105
0.899 0.324 0.610
0.045 0.862 0.239
0.094 0.304 0.445
0.127 0.774 0.914
0.170 0.982 0.358
0.239 0.045 0.862
0.270 0.624 0.419
0.304 0.445 0.094
0.358 0.170 0.982
0.366 0.545 0.738
0.419 0.270 0.624
0.445 0.094 0.304
0.483 0.672 0.862
0.545 0.738 0.366
0.598 0.941 0.807
0.624 0.419 0.270
0.672 0.862 0.483
0.738 0.366 0.545
0.774 0.914 0.127
0.807 0.598 0.941
0.862 0.239 0.045
0.862 0.483 0.672
0.914 0.127 0.774
0.941 0.807 0.598
0.982 0.358 0.170


[6]
FeMoPtRh2 | the Alexandria database | PBEsol | optimized geometry; crystal system = tetragonal; E_form = 1460 meV/atom
1.0
4.523 0.000 0.000
0.000 4.523 0.000
0.000 0.000 4.275
Fe Mo Pt Rh
1 1 1 2
Direct
0.000 0.000 0.000
0.000 0.000 0.500
0.500 0.500 0.000
0.000 0.500 0.500
0.500 0.000 0.500


[7]
Tb2Al3Ge4 | the Alexandria database | PBEsol | optimized geometry; crystal system = orthorhombic; E_form = -488 meV/atom
1.0
2.934 -7.308 0.000
2.934 7.308 0.000
0.000 0.000 7.888
Tb Al Ge
4 6 8
Direct
0.115 0.885 0.921
0.385 0.615 0.421
0.615 0.385 0.579
0.885 0.115 0.079
0.000 0.000 0.500
0.033 0.467 0.750
0.467 0.033 0.250
0.500 0.500 0.000
0.533 0.967 0.750
0.967 0.533 0.250
0.184 0.816 0.553
0.205 0.295 0.750
0.295 0.205 0.250
0.316 0.684 0.053
0.684 0.316 0.947
0.705 0.795 0.750
0.795 0.705 0.250
0.816 0.184 0.447


[8]
Li2ScInSi | the Alexandria database | PBEsol | optimized geometry; crystal system = tetragonal; energy relative to the elements, uncorrected = 0.487 eV per atom
1.0
4.662 0.000 0.000
0.000 4.662 0.000
0.000 0.000 5.393
Li Sc In Si
2 1 1 1
Direct
0.000 0.500 0.000
0.500 0.000 0.000
0.000 0.000 0.500
0.000 0.000 0.000
0.500 0.500 0.500


Sequential DFT total energy output: -6.795 -4.506 -6.653 -10.776 -7.892 -7.335 -5.161 -3.366 eV/atom
Sequential DOS(E_F) output: 0.42 0.77 0.00 0.51 0.35 1.09 0.31 0.84 states/eV/atom